Density functional theory data (PBE) for an optimized crystal structure of Hf3HSe2.

Values from the calculation:
**Symmetry**: Imm2
**VASP energy**: -7.55 eV/atom

The structure in CIF format:
```
data_Hf3HSe2
_chemical_formula_sum 'Hf3 H1 Se2'
_cell_length_a 8.850
_cell_length_b 8.850
_cell_length_c 8.850
_cell_angle_alpha 156.87
_cell_angle_beta 33.23
_cell_angle_gamma 156.47
_space_group_name_H-M_alt 'P 1'
_space_group_IT_number 1
_space_group_name_Hall 'P 1'
loop_
_atom_site_label
_atom_site_fract_x
_atom_site_fract_y
_atom_site_fract_z
_atom_site_occupancy
Hf1 0.000 0.000 0.000 1
Hf2 0.399 0.006 0.392 1
Hf3 0.614 0.006 0.608 1
H1 0.275 0.775 0.500 1
Se1 0.173 0.002 0.171 1
Se2 0.831 0.002 0.829 1
```